1.
# AgPd4Pb

A geometry-optimized AgPd4Pb structure (GGA-PBE, Alexandria via LeMat-Bulk).

Values from the calculation:
DOS at the Fermi energy in states/eV per cell: 4.9
Energy above the lowest structure with this stoichiometry in eV per atom: 0.036
Formation energy in kJ/mol of formula units: -66
Energy in eV/atom: -4.6691
Total magnetic moment in μB per formula unit: 0.00

Unit cell a=7.198 b=4.983 c=5.858 alpha=90.00 beta=99.08 gamma=90.00
Fractional positions:
Ag  0.000  0.094  0.250
Ag  0.000  0.906  0.750
Pd  0.163  0.408  0.918
Pd  0.163  0.592  0.418
Pd  0.328  0.101  0.588
Pd  0.328  0.899  0.088
Pd  0.672  0.101  0.912
Pd  0.672  0.899  0.412
Pd  0.837  0.408  0.582
Pd  0.837  0.592  0.082
Pb  0.500  0.381  0.250
Pb  0.500  0.619  0.750


2.
# Nd2YEr9

A geometry-optimized Nd2YEr9 structure (GGA-PBE, Alexandria via LeMat-Bulk).

Values from the calculation:
DOS at the Fermi energy in states/eV per cell: 16.9
Energy above the lowest structure with this stoichiometry in eV per atom: 0.000
Formation energy in kJ/mol of formula units: 30
Energy in eV/atom: -4.7298
Total magnetic moment in μB per formula unit: 0.00

Unit cell a=5.011 b=5.011 c=15.018 alpha=90.00 beta=90.00 gamma=90.00
Fractional positions:
Nd  0.000  0.000  0.167
Nd  0.000  0.000  0.833
Y  0.000  0.000  0.500
Er  0.000  0.500  0.000
Er  0.000  0.500  0.335
Er  0.000  0.500  0.665
Er  0.500  0.000  0.000
Er  0.500  0.000  0.335
Er  0.500  0.000  0.665
Er  0.500  0.500  0.168
Er  0.500  0.500  0.500
Er  0.500  0.500  0.832


3.
# K2SiRu

A geometry-optimized K2SiRu structure (GGA-PBE, Alexandria via LeMat-Bulk).

Values from the calculation:
DOS at the Fermi energy in states/eV per cell: 4.3
Energy in eV/atom: -3.1740
Raw formation energy in meV per atom: 1049
Total magnetic moment in μB per formula unit: 1.33

Unit cell a=11.540 b=11.540 c=11.540 alpha=14.88 beta=14.88 gamma=14.88
Fractional positions:
K  0.248  0.248  0.248
K  0.752  0.752  0.752
Si  0.000  0.000  0.000
Ru  0.500  0.500  0.500


4.
# FeSi3H

A geometry-optimized FeSi3H structure (GGA-PBE, Alexandria via LeMat-Bulk).

Values from the calculation:
DOS at the Fermi energy in states/eV per cell: 1.3
Energy above the lowest structure with this stoichiometry in eV per atom: 0.000
Energy in eV/atom: -5.1250
Total magnetic moment in μB per formula unit: 1.00

Unit cell a=4.274 b=4.274 c=4.274 alpha=90.00 beta=90.00 gamma=90.00
Fractional positions:
Fe  0.000  0.000  0.000
Si  0.000  0.000  0.500
Si  0.000  0.500  0.000
Si  0.500  0.000  0.000
H  0.500  0.500  0.500